[1]
! MnPtCl, single point on PBEsol structure, DFT meta-GGA SCAN; values from VASP
&SYSTEM
  ibrav = 0, nat = 3, ntyp = 3
/
ATOMIC_SPECIES
Mn 54.94 Mn.upf
Pt 195.08 Pt.upf
Cl 35.45 Cl.upf
CELL_PARAMETERS angstrom
-2.419 -0.449 1.639
-0.816 -0.176 -2.836
2.745 -5.606 0.641
ATOMIC_POSITIONS crystal
Mn 0.665 0.665 0.329
Pt 0.309 0.309 0.617
Cl 0.027 0.027 0.053
! Crystal system   orthorhombic
! Total magnetic moment   1.5526 μB per atom
! E_form (uncorrected)   -0.4434 eV per atom
! Excess energy over the best structure of this formula in the dataset   0.0 kJ/mol of atoms
! Space group   Fmm2


[2]
! Mn2PtCl, single point on PBEsol structure, DFT meta-GGA SCAN; values from VASP
&SYSTEM
  ibrav = 0, nat = 4, ntyp = 3
/
ATOMIC_SPECIES
Mn 54.94 Mn.upf
Pt 195.08 Pt.upf
Cl 35.45 Cl.upf
CELL_PARAMETERS angstrom
-1.014 1.927 3.038
1.219 -1.999 3.974
3.529 1.958 2.235
ATOMIC_POSITIONS crystal
Mn 0.265 0.735 0.735
Mn 0.735 0.265 0.265
Pt 0.500 0.000 0.000
Cl 0.000 0.500 0.500
! Crystal system   orthorhombic
! Total magnetic moment   2.2646 μB per atom
! E_form (uncorrected)   -0.1974 eV per atom
! Space group   Immm